Record 1
Entry from the Alexandria database: crystalline LaCd10Ag2 at its relaxed geometry (PBE).

Cell: 5.7661 7.6552 7.6784 Å, 82.08 68.38 68.20°
Last column: nearest neighbours and their distance in Å.
Space group P-1 (No. 2)
Unique sites:
La 0.0000 0.0000 0.0000 (multiplicity 1)  16 Cd 3.53-3.86, 4 Ag 3.83-3.84
Cd 0.0000 0.0000 0.5000 (multiplicity 1)  10 Cd 2.88-3.13
Cd 0.0083 0.6419 0.3435 (multiplicity 2)  7 Cd 3.01-3.34, 2 Ag 3.01-3.03
Cd 0.2849 0.2183 0.2101 (multiplicity 2)  2 Ag 2.88-2.89, 7 Cd 2.96-3.20
Cd 0.3509 0.6421 0.6564 (multiplicity 2)  2 Ag 3.01-3.02, 7 Cd 3.01-3.33
Cd 0.4956 0.2186 0.7897 (multiplicity 2)  2 Ag 2.88-2.90, 7 Cd 2.95-3.20
Cd 0.5000 0.0000 0.5000 (multiplicity 1)  10 Cd 2.88-3.15
Ag 0.0000 0.5000 0.0000 (multiplicity 1)  2 Ag 2.88, 8 Cd 2.88-3.02
Ag 0.5000 0.5000 0.0000 (multiplicity 1)  8 Cd 2.88-3.03, 2 Ag 2.88

Calculated values
formation energy from the elements = -14.2 kJ/mol of atoms
volume = 292.6 Å³ per cell
D(E_F) = 6.0 states/eV/f.u.

---

Record 2
Entry from the Alexandria database: crystalline LaCd4Ag8 at its relaxed geometry (PBE).

Cell: 9.7697 9.7697 5.6727 Å, 90.00 90.00 90.00°
Last column: nearest neighbours and their distance in Å.
Space group I4/mmm (No. 139)
Unique sites:
La 0.0000 0.0000 0.0000 (multiplicity 2)  12 Ag 3.44-3.52, 8 Cd 3.73
Cd 0.2500 0.2500 0.2500 (multiplicity 8)  2 Cd 2.84, 8 Ag 2.85-2.99
Ag 0.0000 0.2137 0.5000 (multiplicity 8)  4 Cd 2.85, 6 Ag 2.95-3.15
Ag 0.0000 0.3518 0.0000 (multiplicity 8)  5 Ag 2.90-3.15, 4 Cd 2.99

Calculated values
formation energy from the elements = -8.9 kJ/mol of atoms
volume = 541.4 Å³ per cell
D(E_F) = 6.0 states/eV/f.u.

---

Record 3
Entry from the Alexandria database: crystalline La2Cd3Ag at its relaxed geometry (PBE).

Cell: 3.5271 5.0862 8.8050 Å, 90.00 90.00 90.00°
Last column: nearest neighbours and their distance in Å.
Space group Pmm2 (No. 25)
Unique sites:
La 0.0000 0.0000 0.0000 (multiplicity 1)  2 Ag 3.37, 10 Cd 3.40-3.49, 2 La 3.53
La 0.0000 0.5000 0.4851 (multiplicity 1)  8 Cd 3.36-3.47, 4 Ag 3.40, 2 La 3.53
Cd 0.5000 0.0000 0.6574 (multiplicity 1)  1 Ag 2.91, 2 Cd 2.94
Cd 0.5000 0.5000 0.1601 (multiplicity 1)  2 Ag 2.93, 1 Cd 2.95
Cd 0.5000 0.5000 0.8247 (multiplicity 1)  3 Cd 2.94-2.95
Ag 0.5000 0.0000 0.3264 (multiplicity 1)  3 Cd 2.91-2.93

Calculated values
formation energy from the elements = -34.3 kJ/mol of atoms
volume = 158.0 Å³ per cell
D(E_F) = 4.6 states/eV/f.u.

---

Record 4
Entry from the Alexandria database: crystalline La3Cd4Ag4 at its relaxed geometry (PBE).

Cell: 3.6076 4.8959 15.8079 Å, 98.86 96.51 90.02°
Last column: nearest neighbours and their distance in Å.
Space group P-1 (No. 2)
Unique sites:
La 0.0000 0.0000 0.0000 (multiplicity 1)  8 Ag 3.36, 4 Cd 3.42, 2 La 3.61
La 0.1408 0.6408 0.2828 (multiplicity 2)  6 Ag 3.33-3.46, 6 Cd 3.38-3.52, 2 La 3.61
Cd 0.2611 0.2614 0.5224 (multiplicity 2)  4 Ag 2.95-2.96, 4 Cd 3.12
Cd 0.4070 0.9070 0.8128 (multiplicity 2)  3 Ag 2.85-2.86
Ag 0.3145 0.8146 0.6284 (multiplicity 2)  5 Cd 2.86-2.96
Ag 0.4543 0.4539 0.9076 (multiplicity 2)  2 Cd 2.85-2.86, 1 Ag 2.87

Calculated values
formation energy from the elements = -26.9 kJ/mol of atoms
volume = 274.0 Å³ per cell
D(E_F) = 7.9 states/eV/f.u.

---

Record 5
Entry from the Alexandria database: crystalline La2CdAg at its relaxed geometry (PBE).

Cell: 12.2658 3.9150 5.2266 Å, 90.00 115.06 90.00°
Last column: nearest neighbours and their distance in Å.
Space group Cm (No. 8)
Unique sites:
La 0.0000 0.0000 0.0000 (multiplicity 2)  4 Ag 3.28-3.29, 2 La 3.53-3.54, 4 Cd 3.60-3.65
La 0.2141 0.0000 0.7134 (multiplicity 2)  4 Cd 3.33, 2 Ag 3.37, 2 La 3.53-3.54
Cd 0.2721 0.5000 0.2710 (multiplicity 2)  2 Ag 2.92
Ag 0.4668 0.0000 0.4673 (multiplicity 2)  2 Cd 2.92

Calculated values
formation energy from the elements = -22.4 kJ/mol of atoms
volume = 227.4 Å³ per cell
D(E_F) = 3.6 states/eV/f.u.

---

Record 6
Entry from the Alexandria database: crystalline LaCd7Ag12 at its relaxed geometry (PBE).

Cell: 10.2197 10.2197 10.2197 Å, 90.00 90.00 90.00°
Last column: nearest neighbours and their distance in Å.
Space group Im-3 (No. 204)
Unique sites:
La 0.0000 0.0000 0.0000 (multiplicity 2)  12 Ag 3.08
Cd 0.0000 0.0000 0.5000 (multiplicity 6)  4 Ag 2.83
Cd 0.2500 0.2500 0.2500 (multiplicity 8)  6 Ag 2.78
Ag 0.0000 0.1449 0.2638 (multiplicity 24)  3 Cd 2.78-2.83, 1 Ag 2.96, 1 La 3.08

Calculated values
formation energy from the elements = 23.3 kJ/mol of atoms
volume = 1067.4 Å³ per cell
D(E_F) = 8.6 states/eV/f.u.

---

Record 7
Entry from the Alexandria database: crystalline La2CdAg at its relaxed geometry (PBE).

Cell: 3.9018 3.9018 16.5893 Å, 90.00 90.00 90.00°
Last column: nearest neighbours and their distance in Å.
Space group I4/mmm (No. 139)
Unique sites:
La 0.0000 0.0000 0.1765 (multiplicity 4)  1 Ag 2.93
Cd 0.0000 0.0000 0.5000 (multiplicity 2)  4 Ag 2.76
Ag 0.0000 0.0000 0.0000 (multiplicity 2)  4 Cd 2.76, 2 La 2.93

Calculated values
formation energy from the elements = 12.2 kJ/mol of atoms
volume = 252.6 Å³ per cell
D(E_F) = 4.4 states/eV/f.u.

---

Record 8
Entry from the Alexandria database: crystalline LaCd2Ag9 at its relaxed geometry (PBE).

Cell: 5.6731 5.6731 26.9334 Å, 90.00 90.00 120.00°
Last column: nearest neighbours and their distance in Å.
Space group R-3m (No. 166, hexagonal axes)
Unique sites:
La 0.0000 0.0000 0.0000 (multiplicity 3)  18 Ag 3.28-3.66
Cd 0.0000 0.0000 0.1435 (multiplicity 6)  12 Ag 3.23-3.33, 3 Cd 3.51
Ag 0.0000 0.0000 0.3338 (multiplicity 6)  6 Ag 2.83-2.84
Ag 0.0000 0.0000 0.5000 (multiplicity 3)  6 Ag 2.74
Ag 0.0053 0.5027 0.9140 (multiplicity 18)  7 Ag 2.74-2.88

Calculated values
formation energy from the elements = -6.7 kJ/mol of atoms
distance to the lowest polymorph of the same formula = 0.008 eV per atom
volume = 750.7 Å³ per cell
D(E_F) = 6.2 states/eV/f.u.

---

Record 9
Entry from the Alexandria database: crystalline La2CdAg at its relaxed geometry (PBE).

Cell: 7.4672 7.4672 7.4672 Å, 90.00 90.00 90.00°
Last column: nearest neighbours and their distance in Å.
Space group F-43m (No. 216)
Unique sites:
La 0.0000 0.0000 0.0000 (multiplicity 4)  4 La 3.23, 4 Cd 3.23
La 0.2500 0.2500 0.2500 (multiplicity 4)  4 Ag 3.23, 4 La 3.23
Cd 0.2500 0.2500 0.7500 (multiplicity 4)  4 La 3.23, 4 Ag 3.23
Ag 0.0000 0.0000 0.5000 (multiplicity 4)  4 Cd 3.23, 4 La 3.23

Calculated values
formation energy from the elements = -10.1 kJ/mol of atoms
volume = 416.4 Å³ per cell
D(E_F) = 5.1 states/eV/f.u.

---

Record 10
Entry from the Alexandria database: crystalline LaCd11Ag at its relaxed geometry (PBE).

Cell: 5.9122 14.1769 7.6743 Å, 90.00 112.50 90.00°
Last column: nearest neighbours and their distance in Å.
Space group C2/m (No. 12)
Unique sites:
La 0.0000 0.0000 0.0000 (multiplicity 2)  18 Cd 3.53-3.84, 2 Ag 3.84
Cd 0.0000 0.0000 0.5000 (multiplicity 2)  8 Cd 2.94-3.08, 2 Ag 2.96
Cd 0.1026 0.3936 0.2167 (multiplicity 8)  1 Ag 2.90, 7 Cd 2.93-3.19
Cd 0.1833 0.1745 0.3546 (multiplicity 8)  8 Cd 2.97-3.32, 1 Ag 3.04
Cd 0.2500 0.2500 0.0000 (multiplicity 4)  10 Cd 2.93-3.13
Ag 0.0000 0.5000 0.5000 (multiplicity 2)  10 Cd 2.90-3.04

Calculated values
formation energy from the elements = -14.1 kJ/mol of atoms
volume = 594.3 Å³ per cell
D(E_F) = 5.8 states/eV/f.u.

---

Record 11
Entry from the Alexandria database: crystalline La7Cd2Ag2 at its relaxed geometry (PBE).

Cell: 8.2702 11.6163 7.6795 Å, 90.00 90.00 90.00°
Last column: nearest neighbours and their distance in Å.
Space group Cmmm (No. 65)
Unique sites:
La 0.0000 0.0000 0.0000 (multiplicity 2)  2 Ag 3.32
La 0.0000 0.5000 0.2645 (multiplicity 4)  2 Ag 3.22, 2 Cd 3.30, 4 La 3.57
La 0.2500 0.2500 0.2919 (multiplicity 8)  2 Ag 3.08, 1 La 3.20, 2 Cd 3.39
Cd 0.1659 0.0000 0.5000 (multiplicity 4)  1 Cd 2.74
Ag 0.0000 0.2854 0.0000 (multiplicity 4)  7 La 3.08-3.32

Calculated values
formation energy from the elements = -1.1 kJ/mol of atoms
volume = 737.8 Å³ per cell
D(E_F) = 15.0 states/eV/f.u.

---

Record 12
Entry from the Alexandria database: crystalline LaCd3Ag at its relaxed geometry (PBE).

Cell: 6.8745 4.8625 7.7192 Å, 90.00 107.99 90.00°
Last column: nearest neighbours and their distance in Å.
Space group P2_1/m (No. 11)
Unique sites:
La 0.1714 0.2500 0.2151 (multiplicity 2)  9 Cd 3.28-3.55, 3 Ag 3.50-3.57
Cd 0.1519 0.2500 0.7688 (multiplicity 2)  3 Cd 2.88-2.98, 3 Ag 2.91-2.99
Cd 0.3541 0.7500 0.9690 (multiplicity 2)  5 Cd 2.96-3.09, 1 Ag 3.00
Cd 0.4946 0.2500 0.6284 (multiplicity 2)  4 Cd 2.88-3.15, 3 Ag 2.91-3.11
Ag 0.1989 0.7500 0.5601 (multiplicity 2)  7 Cd 2.91-3.11

Calculated values
formation energy from the elements = -23.3 kJ/mol of atoms
distance to the lowest polymorph of the same formula = 0.000 eV per atom
volume = 245.4 Å³ per cell
D(E_F) = 2.6 states/eV/f.u.

---

| no. | M_tot (μB/cell) |
| --- | --- |
| 1 | 0.00 |
| 2 | 0.00 |
| 3 | 0.02 |
| 4 | 0.00 |
| 5 | 0.00 |
| 6 | 0.00 |
| 7 | 0.00 |
| 8 | 0.00 |
| 9 | 0.00 |
| 10 | 0.00 |
| 11 | 0.00 |
| 12 | 0.00 |